# 1
# ThP2Ir3

An optimized crystal structure of ThP2Ir3 (PBE, Alexandria via LeMat-Bulk).

Formation energy in meV/atom: -870
Symmetry: C2/m

Cell lengths 8.295, 8.295, 9.783 Å; angles 107.81, 107.81, 27.84 degrees
Atoms (fractional coordinates):
Th  0.000  0.000  0.000
Th  0.152  0.152  0.695
Th  0.848  0.848  0.305
P  0.200  0.200  0.130
P  0.365  0.365  0.550
P  0.464  0.464  0.221
P  0.536  0.536  0.779
P  0.635  0.635  0.450
P  0.800  0.800  0.870
Ir  0.046  0.046  0.333
Ir  0.229  0.229  0.390
Ir  0.324  0.324  0.049
Ir  0.373  0.373  0.793
Ir  0.500  0.500  0.500
Ir  0.627  0.627  0.207
Ir  0.676  0.676  0.951
Ir  0.771  0.771  0.610
Ir  0.954  0.954  0.667

***

# 2
# Th2PIr6

An optimized crystal structure of Th2PIr6 (PBE, Alexandria via LeMat-Bulk).

Formation energy in meV/atom: -705
Symmetry: C2/m

Cell lengths 5.612, 5.612, 6.097 Å; angles 102.41, 102.41, 60.20 degrees
Atoms (fractional coordinates):
Th  0.141  0.141  0.341
Th  0.859  0.859  0.659
P  0.500  0.500  0.500
Ir  0.108  0.619  0.194
Ir  0.381  0.892  0.806
Ir  0.386  0.386  0.816
Ir  0.614  0.614  0.184
Ir  0.619  0.108  0.194
Ir  0.892  0.381  0.806

***

# 3
# ThP3Ir3

An optimized crystal structure of ThP3Ir3 (PBE, Alexandria via LeMat-Bulk).

Formation energy in meV/atom: -549
Symmetry: Pm-3n

Cell lengths 6.445, 6.445, 6.445 Å; angles 90.00, 90.00, 90.00 degrees
Atoms (fractional coordinates):
Th  0.000  0.000  0.000
Th  0.500  0.500  0.500
P  0.000  0.250  0.500
P  0.000  0.750  0.500
P  0.250  0.500  0.000
P  0.500  0.000  0.250
P  0.500  0.000  0.750
P  0.750  0.500  0.000
Ir  0.000  0.500  0.250
Ir  0.000  0.500  0.750
Ir  0.250  0.000  0.500
Ir  0.500  0.250  0.000
Ir  0.500  0.750  0.000
Ir  0.750  0.000  0.500

***

# 4
# ThP2Ir5

An optimized crystal structure of ThP2Ir5 (PBE, Alexandria via LeMat-Bulk).

Formation energy in meV/atom: -735
Symmetry: Immm

Cell lengths 6.161, 6.161, 6.161 Å; angles 142.19, 112.34, 80.21 degrees
Atoms (fractional coordinates):
Th  0.000  0.000  0.000
P  0.254  0.754  0.500
P  0.746  0.246  0.500
Ir  0.148  0.354  0.794
Ir  0.440  0.646  0.794
Ir  0.500  0.000  0.500
Ir  0.560  0.354  0.206
Ir  0.852  0.646  0.206

***

# 5
# ThP3Ir5

An optimized crystal structure of ThP3Ir5 (PBE, Alexandria via LeMat-Bulk).

Formation energy in meV/atom: -623
Symmetry: Cmcm

Cell lengths 6.371, 6.371, 12.400 Å; angles 90.00, 90.00, 144.16 degrees
Atoms (fractional coordinates):
Th  0.150  0.850  0.750
Th  0.850  0.150  0.250
P  0.120  0.880  0.250
P  0.393  0.607  0.049
P  0.393  0.607  0.451
P  0.607  0.393  0.549
P  0.607  0.393  0.951
P  0.880  0.120  0.750
Ir  0.000  0.000  0.000
Ir  0.000  0.000  0.500
Ir  0.215  0.785  0.083
Ir  0.215  0.785  0.417
Ir  0.438  0.562  0.640
Ir  0.438  0.562  0.860
Ir  0.562  0.438  0.140
Ir  0.562  0.438  0.360
Ir  0.785  0.215  0.583
Ir  0.785  0.215  0.917

***

# 6
# Th2P2Ir5

An optimized crystal structure of Th2P2Ir5 (PBE, Alexandria via LeMat-Bulk).

Formation energy in meV/atom: -903
Symmetry: P4/mmm

Cell lengths 4.174, 4.174, 8.973 Å; angles 90.00, 90.00, 90.00 degrees
Atoms (fractional coordinates):
Th  0.000  0.000  0.000
Th  0.000  0.000  0.500
P  0.500  0.500  0.131
P  0.500  0.500  0.869
Ir  0.000  0.500  0.258
Ir  0.000  0.500  0.742
Ir  0.500  0.000  0.258
Ir  0.500  0.000  0.742
Ir  0.500  0.500  0.500

***

# 7
# Th2P7Ir12

An optimized crystal structure of Th2P7Ir12 (PBE, Alexandria via LeMat-Bulk).

Formation energy in meV/atom: -635
Symmetry: P-6

Cell lengths 9.765, 9.765, 3.985 Å; angles 90.00, 90.00, 120.00 degrees
Atoms (fractional coordinates):
Th  0.000  0.000  0.000
Th  0.333  0.667  0.500
P  0.072  0.616  0.000
P  0.269  0.052  0.500
P  0.384  0.456  0.000
P  0.544  0.928  0.000
P  0.667  0.333  0.000
P  0.783  0.731  0.500
P  0.948  0.217  0.500
Ir  0.051  0.794  0.500
Ir  0.122  0.402  0.000
Ir  0.206  0.257  0.500
Ir  0.280  0.878  0.000
Ir  0.400  0.227  0.000
Ir  0.509  0.049  0.500
Ir  0.540  0.491  0.500
Ir  0.598  0.720  0.000
Ir  0.743  0.949  0.500
Ir  0.773  0.173  0.000
Ir  0.827  0.600  0.000
Ir  0.951  0.460  0.500

***

# 8
# Th2TiP3Ir4

An optimized crystal structure of Th2TiP3Ir4 (PBE, Alexandria via LeMat-Bulk).

Formation energy in meV/atom: -1023
Symmetry: P-4m2

Cell lengths 4.073, 4.073, 10.490 Å; angles 90.00, 90.00, 90.00 degrees
Atoms (fractional coordinates):
Th  0.000  0.500  0.239
Th  0.500  0.000  0.761
Ti  0.000  0.000  0.500
P  0.000  0.500  0.865
P  0.500  0.000  0.135
P  0.500  0.500  0.500
Ir  0.000  0.000  0.000
Ir  0.000  0.500  0.639
Ir  0.500  0.000  0.361
Ir  0.500  0.500  0.000

***

# 9
# Th2VP3Ir4

An optimized crystal structure of Th2VP3Ir4 (PBE, Alexandria via LeMat-Bulk).

Formation energy in meV/atom: -964
Symmetry: P-4m2

Cell lengths 4.099, 4.099, 10.223 Å; angles 90.00, 90.00, 90.00 degrees
Atoms (fractional coordinates):
Th  0.000  0.500  0.245
Th  0.500  0.000  0.755
V  0.000  0.000  0.500
P  0.000  0.500  0.863
P  0.500  0.000  0.137
P  0.500  0.500  0.500
Ir  0.000  0.000  0.000
Ir  0.000  0.500  0.630
Ir  0.500  0.000  0.370
Ir  0.500  0.500  0.000

***

# 10
# Th2ZnP3Ir4

An optimized crystal structure of Th2ZnP3Ir4 (PBE, Alexandria via LeMat-Bulk).

Formation energy in meV/atom: -919
Symmetry: P-4m2

Cell lengths 4.089, 4.089, 10.296 Å; angles 90.00, 90.00, 90.00 degrees
Atoms (fractional coordinates):
Th  0.000  0.500  0.249
Th  0.500  0.000  0.751
Zn  0.000  0.000  0.500
P  0.000  0.500  0.865
P  0.500  0.000  0.135
P  0.500  0.500  0.500
Ir  0.000  0.000  0.000
Ir  0.000  0.500  0.641
Ir  0.500  0.000  0.359
Ir  0.500  0.500  0.000

***

# 11
# Th2ZrP3Ir12

An optimized crystal structure of Th2ZrP3Ir12 (PBE, Alexandria via LeMat-Bulk).

Formation energy in meV/atom: -111
Symmetry: R-3m

Cell lengths 7.434, 7.434, 7.434 Å; angles 67.49, 67.49, 67.49 degrees
Atoms (fractional coordinates):
Th  0.103  0.103  0.103
Th  0.897  0.897  0.897
Zr  0.500  0.500  0.500
P  0.000  0.500  0.500
P  0.500  0.000  0.500
P  0.500  0.500  0.000
Ir  0.113  0.645  0.645
Ir  0.158  0.158  0.594
Ir  0.158  0.594  0.158
Ir  0.355  0.355  0.887
Ir  0.355  0.887  0.355
Ir  0.406  0.842  0.842
Ir  0.594  0.158  0.158
Ir  0.645  0.113  0.645
Ir  0.645  0.645  0.113
Ir  0.842  0.406  0.842
Ir  0.842  0.842  0.406
Ir  0.887  0.355  0.355

***

# 12
# Ti8PIr2

An optimized crystal structure of Ti8PIr2 (PBE, Alexandria via LeMat-Bulk).

Formation energy in meV/atom: -509
Symmetry: C2/m

Cell lengths 7.540, 7.540, 5.930 Å; angles 106.81, 106.81, 33.97 degrees
Atoms (fractional coordinates):
Ti  0.011  0.011  0.250
Ti  0.202  0.202  0.791
Ti  0.342  0.342  0.557
Ti  0.409  0.409  0.058
Ti  0.591  0.591  0.942
Ti  0.658  0.658  0.443
Ti  0.798  0.798  0.209
Ti  0.989  0.989  0.750
P  0.500  0.500  0.500
Ir  0.182  0.182  0.199
Ir  0.818  0.818  0.801